[1]
BaAlMo2O: optimized geometry, GGA+U.

a b c (Å): 4.7001 4.7001 5.3138
angles (deg): 90.00 90.00 90.00
Sites, in units of the cell vectors:
1 Ba 0.0000 0.0000 0.0000
2 Al 0.5000 0.5000 0.0000
3 Mo 0.0000 0.5000 0.5000
4 Mo 0.5000 0.0000 0.5000
5 O 0.0000 0.0000 0.5000

Values from the calculation:
DOS(E_F) = 0.31 states/eV per atom
E_tot = -23.8 eV per cell
symmetry = P4/mmm, No. 123

***

[2]
BaAl2MoO: optimized geometry, GGA+U.

a b c (Å): 5.4342 5.4342 3.9685
angles (deg): 90.00 90.00 90.00
Sites, in units of the cell vectors:
1 Ba 0.0000 0.0000 0.0000
2 Al 0.0000 0.5000 0.5000
3 Al 0.5000 0.0000 0.5000
4 Mo 0.5000 0.5000 0.5000
5 O 0.5000 0.5000 0.0000

Values from the calculation:
DOS(E_F) = 0.49 states/eV per atom
E_tot = -21.6 eV per cell
symmetry = P4/mmm, No. 123

***

[3]
BaAlMoO4: optimized geometry, GGA+U.

a b c (Å): 6.0628 6.0628 6.0628
angles (deg): 60.00 60.00 60.00
Sites, in units of the cell vectors:
1 Ba 0.0000 0.0000 0.0000
2 Al 0.5000 0.5000 0.5000
3 Mo 0.7500 0.7500 0.7500
4 O 0.1452 0.6183 0.6183
5 O 0.6183 0.1452 0.6183
6 O 0.6183 0.6183 0.1452
7 O 0.6183 0.6183 0.6183

Values from the calculation:
DOS(E_F) = 0.37 states/eV per atom
E_tot = -45.8 eV per cell
symmetry = F-43m, No. 216